Compound: Li2CrPt
Source: Alexandria
Functional: GGA-PBE
Structure: relaxed

Cell: 2.589 2.589 8.449 Å, 90.00 90.00 90.00°
Sites, in units of the cell vectors:
Cr (0.500, 0.500, 0.750)
Li (0.000, 0.000, 0.021)
Li (0.000, 0.000, 0.479)
Pt (0.500, 0.500, 0.250)



Compound: LiCr2Pt
Source: Alexandria
Functional: GGA-PBE
Structure: relaxed

Cell: 4.191 2.601 4.839 Å, 72.13 90.00 90.00°
Sites, in units of the cell vectors:
Cr (0.000, 0.988, 0.031)
Cr (0.000, 0.512, 0.469)
Li (0.500, 0.250, 0.250)
Pt (0.500, 0.750, 0.750)



Compound: LiCr2Pt
Source: Alexandria
Functional: GGA-PBE
Structure: relaxed

Cell: 9.331 9.331 9.331 Å, 16.21 16.21 16.21°
Sites, in units of the cell vectors:
Cr (0.003, 0.003, 0.003)
Cr (0.497, 0.497, 0.497)
Li (0.250, 0.250, 0.250)
Pt (0.750, 0.750, 0.750)



| no. | uncorrected energy (eV/atom) |
| --- | --- |
| 1 | -4.74 |
| 2 | -6.74 |
| 3 | -6.45 |